The following is a PBE calculation of an optimized crystal structure of Zn2GaSn, from the Alexandria database.

Lattice parameters (Å, degrees): 3.3670 3.3670 6.9826 90.00 90.00 90.00
Fractional coordinates of all 4 atoms:
Zn: 0.0000 0.0000 0.2155
Zn: 0.0000 0.0000 0.7845
Ga: 0.5000 0.5000 0.0000
Sn: 0.5000 0.5000 0.5000

**Electronic total energy**: -2.285 eV per atom
**Energy of formation**: 110 meV/atom
**Magnetic moment**: 0.0 μB/f.u.